# CaAs2N

A relaxed CaAs2N crystal (PBE, the Alexandria database).

Cell and atoms, written as CIF:
```
data_CaAs2N
_cell_length_a 6.5532
_cell_length_b 6.5532
_cell_length_c 7.3773
_cell_angle_alpha 90.00
_cell_angle_beta 90.00
_cell_angle_gamma 90.00
_space_group_name_H-M_alt 'I -4 2 d'
_space_group_IT_number 122
_space_group_name_Hall 'I -4 2bw'
loop_
_atom_site_label
_atom_site_fract_x
_atom_site_fract_y
_atom_site_fract_z
Ca1 0.0000 0.0000 0.0000
As1 0.1336 0.2500 0.6250
N1 0.0000 0.0000 0.5000
```

* electronic total energy: -4.7946 eV/atom
* density: 4.28 g cm⁻³
* raw formation energy: 0.11 eV/atom
* total magnetic moment: 0.000 μB per formula unit